VASP calculation (PBE) on a relaxed LiMgI3 crystal.

Its volume is 39.24 Å³/atom. The uncorrected formation energy is -1024 meV per atom.

The structure belongs to space group Pnma (No. 62); the cell edges are 8.2203, 12.5086 and 7.6326 Å and the angles 90.00°, 90.00° and 90.00°. The distinct sites, in fractional coordinates, are Li at (0.0000, 0.0000, 0.0000), Mg at (0.2127, 0.2500, 0.4599), I at (0.0511, 0.2500, 0.1377) and I at (0.2044, 0.0664, 0.6456).



VASP calculation (PBE) on a relaxed SrZrAl2 crystal.

Its volume is 26.42 Å³/atom. The value obtained for the polymorph energy (0 for the lowest one) is 188.6 meV per atom. For the energy of formation from the pure elements, the calculation gives -0.03 eV/atom.

The structure belongs to space group Imm2 (No. 44); the cell edges are 3.9234, 4.4877 and 12.0031 Å and the angles 90.00°, 90.00° and 90.00°. The distinct sites, in fractional coordinates, are Sr at (0.0000, 0.0000, 0.0000), Zr at (0.0000, 0.5000, 0.7594), Al at (0.0000, 0.0000, 0.6122) and Al at (0.0000, 0.5000, 0.2593).



VASP calculation (PBE) on a relaxed HoTmTl2 crystal.

Its volume is 26.62 Å³/atom. The value obtained for the polymorph energy (0 for the lowest one) is 2.8 meV per atom. For the energy of formation from the pure elements, the calculation gives -0.31 eV/atom.

The structure belongs to space group P4/mmm (No. 123); the cell edges are 3.7552, 3.7552 and 7.5518 Å and the angles 90.00°, 90.00° and 90.00°. The distinct sites, in fractional coordinates, are Ho at (0.0000, 0.0000, 0.0000), Tm at (0.0000, 0.0000, 0.5000) and Tl at (0.5000, 0.5000, 0.2527).



VASP calculation (PBE) on a relaxed TlCoAg2 crystal.

Its volume is 17.83 Å³/atom. The value obtained for the polymorph energy (0 for the lowest one) is 71.0 meV per atom. For the energy of formation from the pure elements, the calculation gives 0.43 eV/atom.

The structure belongs to space group I4/mmm (No. 139); the cell edges are 3.9876, 3.9876 and 8.9694 Å and the angles 90.00°, 90.00° and 90.00°. The distinct sites, in fractional coordinates, are Tl at (0.0000, 0.0000, 0.0000), Co at (0.0000, 0.0000, 0.5000) and Ag at (0.0000, 0.5000, 0.2500).



Q: Which of these has the highest volume?
A: LiMgI3



Q: Which value of volume does entry 4 give?
A: 17.83 Å³/atom



Q: What is the formula in the fourth record?
A: TlCoAg2